GGA-PBE ZnInTc2, optimized geometry; E above lowest polymorph = 301 meV per atom; energy of formation from the pure elements = 0.37 eV/atom; crystal system = trigonal; DOS at the Fermi energy = 1.18 states/eV per atom; electronic total energy = -5.82 eV/atom
1.0
1.444 0.834 8.921
-1.444 0.834 8.921
0.000 -1.668 8.921
Zn In Tc
1 1 2
direct
0.000 0.000 0.000
0.500 0.500 0.500
0.254 0.254 0.254
0.746 0.746 0.746